Material: Ca6NbO8
Method: DFT, PBE
State: relaxed

For the energy relative to the elements, uncorrected, the calculation gives -2.867 eV per atom.

The structure belongs to space group Fm-3m (No. 225); the cell edges are 9.574, 9.574 and 9.574 Å and the angles 90.00°, 90.00° and 90.00°. The distinct sites, in fractional coordinates, are Ca at (0.000, 0.250, 0.250), Nb at (0.000, 0.000, 0.000), O at (0.000, 0.000, 0.220) and O at (0.250, 0.250, 0.250).